1.
# LiY2W, PBEsol geometry, DFT meta-GGA SCAN
# Formation enthalpy at 0 K   3.1 eV/f.u.
# Relative energy among the computed polymorphs   0.132 eV per atom
# Mass density   6.90 g/cm3
data_LiY2W
_cell_length_a 3.0949
_cell_length_b 3.0949
_cell_length_c 32.0954
_cell_angle_alpha 90.00
_cell_angle_beta 90.00
_cell_angle_gamma 120.00
_space_group_name_H-M_alt 'R 3 m'
_space_group_IT_number 160
_space_group_name_Hall 'R 3 -2"'
loop_
_atom_site_label
_atom_site_type_symbol
_atom_site_fract_x
_atom_site_fract_y
_atom_site_fract_z
Li1 Li 0.0000 0.0000 0.0000
Y1 Y 0.0000 0.0000 0.2439
Y2 Y 0.0000 0.0000 0.4807
W1 W 0.0000 0.0000 0.7384

2.
# LiYW2, PBEsol geometry, DFT meta-GGA SCAN
# Formation enthalpy at 0 K   3.1 eV/f.u.
# Relative energy among the computed polymorphs   0.074 eV per atom
# Mass density   11.01 g/cm3
data_LiYW2
_cell_length_a 2.711
_cell_length_b 2.711
_cell_length_c 9.508
_cell_angle_alpha 90.00
_cell_angle_beta 90.00
_cell_angle_gamma 90.00
_space_group_name_H-M_alt 'P 4/m m m'
_space_group_IT_number 123
_space_group_name_Hall '-P 4 2'
loop_
_atom_site_label
_atom_site_type_symbol
_atom_site_fract_x
_atom_site_fract_y
_atom_site_fract_z
Li1 Li 0.000 0.000 0.000
Y1 Y 0.000 0.000 0.500
W1 W 0.500 0.500 0.236

3.
# LiYW2, PBEsol geometry, DFT meta-GGA SCAN
# Formation enthalpy at 0 K   2.8 eV/f.u.
# Relative energy among the computed polymorphs   0.000 eV per atom
# Mass density   10.62 g/cm3
data_LiYW2
_cell_length_a 2.740
_cell_length_b 2.740
_cell_length_c 9.661
_cell_angle_alpha 90.00
_cell_angle_beta 90.00
_cell_angle_gamma 90.00
_space_group_name_H-M_alt 'P 4 m m'
_space_group_IT_number 99
_space_group_name_Hall 'P 4 -2'
loop_
_atom_site_label
_atom_site_type_symbol
_atom_site_fract_x
_atom_site_fract_y
_atom_site_fract_z
Li1 Li 0.000 0.000 0.000
Y1 Y 0.500 0.500 0.709
W1 W 0.000 0.000 0.456
W2 W 0.500 0.500 0.225

4.
# LiY2W, PBEsol geometry, DFT meta-GGA SCAN
# Formation enthalpy at 0 K   2.5 eV/f.u.
# Relative energy among the computed polymorphs   0.000 eV per atom
# Mass density   6.97 g/cm3
data_LiY2W
_cell_length_a 2.963
_cell_length_b 4.799
_cell_length_c 6.172
_cell_angle_alpha 90.00
_cell_angle_beta 90.00
_cell_angle_gamma 90.00
_space_group_name_H-M_alt 'P m m 2'
_space_group_IT_number 25
_space_group_name_Hall 'P 2 -2'
loop_
_atom_site_label
_atom_site_type_symbol
_atom_site_fract_x
_atom_site_fract_y
_atom_site_fract_z
Li1 Li 0.000 0.000 0.000
Y1 Y 0.000 0.000 0.443
Y2 Y 0.500 0.500 0.772
W1 W 0.500 0.500 0.270

5.
# LiY2W, PBEsol geometry, DFT meta-GGA SCAN
# Formation enthalpy at 0 K   2.6 eV/f.u.
# Relative energy among the computed polymorphs   0.020 eV per atom
# Mass density   7.02 g/cm3
data_LiY2W
_cell_length_a 2.984
_cell_length_b 2.984
_cell_length_c 9.783
_cell_angle_alpha 90.00
_cell_angle_beta 90.00
_cell_angle_gamma 90.00
_space_group_name_H-M_alt 'P 4 m m'
_space_group_IT_number 99
_space_group_name_Hall 'P 4 -2'
loop_
_atom_site_label
_atom_site_type_symbol
_atom_site_fract_x
_atom_site_fract_y
_atom_site_fract_z
Li1 Li 0.000 0.000 0.000
Y1 Y 0.000 0.000 0.426
Y2 Y 0.500 0.500 0.743
W1 W 0.500 0.500 0.199

6.
# Li2ZnW, PBEsol geometry, DFT meta-GGA SCAN
# Formation enthalpy at 0 K   0.7 eV/f.u.
# Mass density   7.43 g/cm3
data_Li2ZnW
_cell_length_a 2.901
_cell_length_b 4.310
_cell_length_c 9.411
_cell_angle_alpha 90.00
_cell_angle_beta 90.00
_cell_angle_gamma 90.00
_space_group_name_H-M_alt 'C m m m'
_space_group_IT_number 65
_space_group_name_Hall '-C 2 2'
loop_
_atom_site_label
_atom_site_type_symbol
_atom_site_fract_x
_atom_site_fract_y
_atom_site_fract_z
Li1 Li 0.000 0.000 0.245
Zn1 Zn 0.000 0.500 0.000
W1 W 0.000 0.500 0.500